SrZrMn | the Alexandria database | PBE-GGA | optimized geometry; symmetry = P3m1 (156); energy of formation = 0.663 eV per atom; E above lowest polymorph = 0.2716 eV per atom; calculated volume = 79.6 Å³/f.u.; density = 4.9 g cm⁻³
1.0
3.5727 0.0000 0.0000
-1.7864 3.0940 0.0000
0.0000 0.0000 7.1967
Mn Sr Zr
1 1 1
Direct
0.0000 0.0000 0.9625
0.6667 0.3333 0.2965
0.3333 0.6667 0.7410

---

NaSn2Pd8 | the Alexandria database | PBE-GGA | optimized geometry; symmetry = C2/m (12); energy of formation = -0.234 eV per atom; calculated volume = 194.1 Å³/f.u.; density = 9.5 g cm⁻³
1.0
-0.8473 4.2772 -2.1872
-3.5877 0.4648 6.1827
7.1453 -0.4440 0.2475
Na Pd Sn
1 8 2
Direct
0.5000 0.0000 0.0000
0.8647 0.6743 0.9046
0.3138 0.5869 0.5869
0.1353 0.3257 0.0954
0.5000 0.7795 0.2205
0.5000 0.2205 0.7795
0.8647 0.9046 0.6743
0.6862 0.4131 0.4131
0.1353 0.0954 0.3257
0.0000 0.3088 0.6912
0.0000 0.6912 0.3088

---

SmTl2GaS4 | the Alexandria database | PBE-GGA | optimized geometry; symmetry = Imma (74); formation energy (no corrections) = -832 meV per atom; calculated volume = 198.5 Å³/f.u.; density = 6.3 g cm⁻³
1.0
8.2599 -0.0284 -0.1858
-0.0342 8.2599 -0.1858
-4.1893 -4.1922 6.0087
S Ga Tl Sm
8 2 4 2
Direct
0.2405 0.2587 0.0493
0.7469 0.2983 0.5226
0.7587 0.7405 0.5493
0.7983 0.2469 0.0226
0.2017 0.7531 0.9774
0.2413 0.2595 0.4507
0.2531 0.7017 0.4774
0.7595 0.7413 0.9507
0.5000 0.5000 0.5000
0.0000 0.0000 0.0000
0.5000 0.0000 0.5000
0.0000 0.0000 0.5000
0.5000 0.0000 0.0000
0.5000 0.5000 0.0000
0.0000 0.5000 0.5000
0.0000 0.5000 0.0000

---

ZnTeHSe2 | the Alexandria database | PBE-GGA | optimized geometry; symmetry = P4/mmm (123); electronic total energy = -2.43 eV/atom; calculated volume = 95.8 Å³/f.u.; density = 6.1 g cm⁻³
1.0
-4.6107 0.7060 -2.0853
-1.2893 -2.8775 1.8764
-1.2743 3.0906 3.8639
Zn H Te Se
1 1 1 2
Direct
0.5000 0.5000 0.5000
0.0000 0.0000 0.0000
0.0000 0.5000 0.0000
0.0000 0.0000 0.5000
0.5000 0.0000 0.0000

---

SnHg2Pb2 | the Alexandria database | PBE-GGA | optimized geometry; symmetry = I4/mmm (139); energy of formation = 0.094 eV per atom; E above lowest polymorph = 0.0706 eV per atom; calculated volume = 151.4 Å³/f.u.; density = 10.2 g cm⁻³
1.0
4.1571 0.0000 0.0000
0.0000 4.1571 0.0000
2.0786 2.0786 8.7596
Hg Pb Sn
2 2 1
Direct
0.7500 0.2500 0.5000
0.2500 0.7500 0.5000
0.4048 0.4048 0.1904
0.5952 0.5952 0.8096
0.0000 0.0000 0.0000

---

NiPdN2 | the Alexandria database | PBE-GGA | optimized geometry; symmetry = I-42d (122); E above lowest polymorph = 0.1301 eV per atom; formation energy (no corrections) = 734 meV per atom; calculated volume = 46.1 Å³/f.u.; density = 7.0 g cm⁻³
1.0
4.6801 0.0000 0.0000
0.0000 4.6801 0.0000
2.3400 2.3400 4.2079
Ni N Pd
2 4 2
Direct
0.5000 0.5000 0.0000
0.2500 0.7500 0.5000
0.5866 0.1250 0.2500
0.3750 0.4134 0.7500
0.8750 0.8366 0.7500
0.1634 0.6250 0.2500
0.0000 0.0000 0.0000
0.7500 0.2500 0.5000